(1)
Hf2ZrTaN: optimized geometry, PBE-GGA.

a b c (Å): 4.425 4.425 4.561
angles (deg): 90.00 90.00 90.00
Sites, in units of the cell vectors:
Hf (0.000, 0.500, 0.000)
Hf (0.500, 0.000, 0.000)
Zr (0.000, 0.000, 0.500)
Ta (0.500, 0.500, 0.500)
N (0.000, 0.000, 0.000)

Computed properties:
**Spin magnetization**: 0.0 μB/cell
**Energy above the lowest structure with this stoichiometry**: 0 meV/atom
**Calculated volume**: 89.3 Å³ per cell
**E_form (uncorrected)**: -676 meV/atom
**Energy**: -52.01 eV for the cell shown

=====

(2)
Hf2ZrTaN: optimized geometry, PBE-GGA.

a b c (Å): 4.535 4.535 4.309
angles (deg): 90.00 90.00 90.00
Sites, in units of the cell vectors:
Hf (0.000, 0.500, 0.000)
Hf (0.500, 0.000, 0.000)
Zr (0.000, 0.000, 0.500)
Ta (0.500, 0.500, 0.500)
N (0.500, 0.500, 0.000)

Computed properties:
**Spin magnetization**: 0.0 μB/cell
**Energy above the lowest structure with this stoichiometry**: 40 meV/atom
**Calculated volume**: 88.6 Å³ per cell
**E_form (uncorrected)**: -636 meV/atom
**Energy**: -51.81 eV for the cell shown